# 1
Below is a relaxed V3O2F5 crystal, with properties calculated at the GGA-PBEsol level.

Values from the calculation:
The uncorrected formation energy is -2527.1 meV/atom.

Cell: 8.075 8.075 8.075 Å, 134.09 125.55 73.90°
Element x y z (fractional)
V (0.000, 0.000, 0.500)
V (0.000, 0.500, 0.000)
V (0.122, 0.122, 0.000)
V (0.500, 0.000, 0.000)
V (0.500, 0.500, 0.500)
V (0.878, 0.878, 0.000)
O (0.214, 0.445, 0.230)
O (0.214, 0.984, 0.770)
O (0.786, 0.016, 0.230)
O (0.786, 0.555, 0.770)
F (0.000, 0.189, 0.189)
F (0.000, 0.811, 0.811)
F (0.114, 0.339, 0.775)
F (0.129, 0.855, 0.274)
F (0.419, 0.145, 0.274)
F (0.436, 0.661, 0.775)
F (0.564, 0.339, 0.225)
F (0.581, 0.855, 0.726)
F (0.871, 0.145, 0.726)
F (0.886, 0.661, 0.225)

---

# 2
Below is a relaxed VOF3 crystal, with properties calculated at the GGA-PBEsol level.

Values from the calculation:
The uncorrected formation energy is -2611.3 meV/atom.

Cell: 4.517 4.605 12.972 Å, 90.00 110.22 90.00°
Element x y z (fractional)
V (0.160, 0.208, 0.182)
V (0.160, 0.292, 0.682)
V (0.840, 0.708, 0.318)
V (0.840, 0.792, 0.818)
O (0.076, 0.041, 0.801)
O (0.076, 0.459, 0.301)
O (0.924, 0.541, 0.699)
O (0.924, 0.959, 0.199)
F (0.100, 0.552, 0.908)
F (0.100, 0.948, 0.408)
F (0.297, 0.070, 0.084)
F (0.297, 0.430, 0.584)
F (0.484, 0.573, 0.206)
F (0.484, 0.927, 0.706)
F (0.516, 0.073, 0.294)
F (0.516, 0.427, 0.794)
F (0.703, 0.570, 0.416)
F (0.703, 0.930, 0.916)
F (0.900, 0.052, 0.592)
F (0.900, 0.448, 0.092)

---

# 3
Below is a relaxed V4O3F9 crystal, with properties calculated at the GGA-PBEsol level.

Values from the calculation:
The uncorrected formation energy is -2726.3 meV/atom. The distance to the lowest polymorph of the same formula is 44 meV/atom.

Cell: 5.343 5.237 7.135 Å, 90.00 91.96 90.00°
Element x y z (fractional)
V (0.000, 0.000, 0.239)
V (0.000, 0.000, 0.761)
V (0.499, 0.496, 0.250)
V (0.501, 0.496, 0.750)
O (0.000, 0.055, 0.000)
O (0.500, 0.439, 0.000)
O (0.500, 0.548, 0.500)
F (0.000, 0.906, 0.500)
F (0.203, 0.701, 0.213)
F (0.204, 0.286, 0.708)
F (0.292, 0.197, 0.291)
F (0.295, 0.792, 0.785)
F (0.705, 0.792, 0.215)
F (0.708, 0.197, 0.709)
F (0.796, 0.286, 0.292)
F (0.797, 0.701, 0.787)

---

# 4
Below is a relaxed V2O3F crystal, with properties calculated at the GGA-PBEsol level.

Values from the calculation:
The uncorrected formation energy is -2483.4 meV/atom. The distance to the lowest polymorph of the same formula is 17 meV/atom.

Cell: 4.604 5.736 9.649 Å, 107.17 91.59 90.15°
Element x y z (fractional)
V (0.000, 0.000, 0.000)
V (0.008, 0.212, 0.480)
V (0.025, 0.744, 0.475)
V (0.080, 0.458, 0.962)
V (0.523, 0.839, 0.223)
V (0.536, 0.371, 0.236)
V (0.552, 0.108, 0.720)
V (0.584, 0.596, 0.734)
O (0.225, 0.776, 0.075)
O (0.240, 0.282, 0.083)
O (0.241, 0.032, 0.578)
O (0.328, 0.658, 0.333)
O (0.348, 0.402, 0.826)
O (0.721, 0.062, 0.137)
O (0.737, 0.801, 0.631)
O (0.749, 0.304, 0.627)
O (0.821, 0.925, 0.374)
O (0.838, 0.177, 0.878)
O (0.844, 0.431, 0.384)
O (0.848, 0.683, 0.886)
F (0.242, 0.525, 0.579)
F (0.329, 0.153, 0.330)
F (0.345, 0.900, 0.827)
F (0.744, 0.548, 0.122)

---

# 5
Below is a relaxed V4O5F7 crystal, with properties calculated at the GGA-PBEsol level.

Values from the calculation:
The uncorrected formation energy is -2674.7 meV/atom. The distance to the lowest polymorph of the same formula is 0 meV/atom.

Cell: 5.219 5.229 8.911 Å, 89.66 74.00 60.14°
Element x y z (fractional)
V (0.000, 0.000, 0.000)
V (0.028, 0.553, 0.496)
V (0.478, 0.784, 0.239)
V (0.520, 0.253, 0.723)
O (0.255, 0.859, 0.112)
O (0.268, 0.360, 0.613)
O (0.268, 0.682, 0.385)
O (0.760, 0.887, 0.081)
O (0.769, 0.890, 0.635)
F (0.259, 0.192, 0.332)
F (0.268, 0.697, 0.827)
F (0.274, 0.195, 0.894)
F (0.761, 0.388, 0.581)
F (0.765, 0.717, 0.358)
F (0.773, 0.380, 0.135)
F (0.774, 0.229, 0.857)

---

# 6
Below is a relaxed V4OF11 crystal, with properties calculated at the GGA-PBEsol level.

Values from the calculation:
The uncorrected formation energy is -2835.7 meV/atom. The distance to the lowest polymorph of the same formula is 5 meV/atom.

Cell: 5.330 5.114 7.286 Å, 90.00 93.51 90.00°
Element x y z (fractional)
V (0.000, 0.000, 0.236)
V (0.000, 0.000, 0.764)
V (0.499, 0.494, 0.250)
V (0.501, 0.494, 0.750)
O (0.000, 0.065, 0.000)
F (0.000, 0.901, 0.500)
F (0.195, 0.685, 0.202)
F (0.196, 0.298, 0.699)
F (0.303, 0.190, 0.304)
F (0.306, 0.795, 0.802)
F (0.500, 0.382, 0.000)
F (0.500, 0.594, 0.500)
F (0.694, 0.795, 0.198)
F (0.697, 0.190, 0.696)
F (0.804, 0.298, 0.301)
F (0.805, 0.685, 0.798)

---

# 7
Below is a relaxed V2O2F3 crystal, with properties calculated at the GGA-PBEsol level.

Values from the calculation:
The uncorrected formation energy is -2601.7 meV/atom. The distance to the lowest polymorph of the same formula is 56 meV/atom.

Cell: 5.073 5.073 9.563 Å, 90.00 90.00 136.53°
Element x y z (fractional)
V (0.154, 0.846, 0.556)
V (0.154, 0.846, 0.944)
V (0.846, 0.154, 0.056)
V (0.846, 0.154, 0.444)
O (0.329, 0.671, 0.046)
O (0.329, 0.671, 0.454)
O (0.671, 0.329, 0.546)
O (0.671, 0.329, 0.954)
F (0.043, 0.957, 0.117)
F (0.043, 0.957, 0.383)
F (0.214, 0.786, 0.750)
F (0.786, 0.214, 0.250)
F (0.957, 0.043, 0.617)
F (0.957, 0.043, 0.883)

---

# 8
Below is a relaxed V3O2F6 crystal, with properties calculated at the GGA-PBEsol level.

Values from the calculation:
The uncorrected formation energy is -2720.0 meV/atom. The distance to the lowest polymorph of the same formula is 0 meV/atom.

Cell: 5.371 4.688 9.858 Å, 90.00 95.04 90.00°
Element x y z (fractional)
V (0.000, 0.000, 0.000)
V (0.000, 0.500, 0.500)
V (0.232, 0.018, 0.746)
V (0.232, 0.482, 0.246)
V (0.768, 0.518, 0.754)
V (0.768, 0.982, 0.254)
O (0.028, 0.187, 0.178)
O (0.028, 0.313, 0.678)
O (0.972, 0.687, 0.322)
O (0.972, 0.813, 0.822)
F (0.192, 0.684, 0.076)
F (0.192, 0.816, 0.576)
F (0.286, 0.175, 0.928)
F (0.286, 0.325, 0.428)
F (0.474, 0.720, 0.805)
F (0.474, 0.780, 0.305)
F (0.526, 0.220, 0.695)
F (0.526, 0.280, 0.195)
F (0.714, 0.675, 0.572)
F (0.714, 0.825, 0.072)
F (0.808, 0.184, 0.424)
F (0.808, 0.316, 0.924)